## AlFeNiPd (PBE-GGA)

Data for AlFeNiPd after structural relaxation.

The formation energy comes out at -0.337 eV per atom. The density of states at the Fermi level comes out at 1.017 states/eV/atom. The size of the total moment comes out at 12.60 μB/cell.

The space group is F-43m (No. 216) and the conventional cell measures 5.956, 5.956 and 5.956 Å, with angles of 90.00, 90.00 and 90.00 degrees. The asymmetric unit holds Al at (0.000, 0.000, 0.000), Fe at (0.000, 0.000, 0.500), Ni at (0.250, 0.250, 0.250) and Pd at (0.250, 0.250, 0.750).


## PmAl3FeNi (PBE-GGA)

Data for PmAl3FeNi after structural relaxation.

The formation energy comes out at -0.198 eV per atom. The density of states at the Fermi level comes out at 0.569 states/eV/atom. The size of the total moment comes out at 0.00 μB/cell.

The space group is Cmcm (No. 63) and the conventional cell measures 7.403, 10.348 and 5.773 Å, with angles of 90.00, 90.00 and 90.00 degrees. The asymmetric unit holds Pm at (0.000, 0.226, 0.250), Al at (0.000, 0.276, 0.750), Al at (0.244, 0.000, 0.000), Fe at (0.000, 0.058, 0.750) and Ni at (0.000, 0.492, 0.750).


## Pr2AlFe2Ni5 (PBE-GGA)

Data for Pr2AlFe2Ni5 after structural relaxation.

The formation energy comes out at -0.072 eV per atom. The density of states at the Fermi level comes out at 1.010 states/eV/atom. The size of the total moment comes out at 11.56 μB/cell.

The space group is P4/mbm (No. 127) and the conventional cell measures 9.225, 9.225 and 3.670 Å, with angles of 90.00, 90.00 and 90.00 degrees. The asymmetric unit holds Pr at (0.183, 0.317, 0.000), Al at (0.000, 0.000, 0.000), Fe at (0.116, 0.616, 0.000), Ni at (0.000, 0.500, 0.500) and Ni at (0.056, 0.793, 0.500).


## AlFeNiPt (PBE-GGA)

Data for AlFeNiPt after structural relaxation.

The formation energy comes out at -0.440 eV per atom. The density of states at the Fermi level comes out at 1.211 states/eV/atom. The size of the total moment comes out at 12.84 μB/cell.

The space group is F-43m (No. 216) and the conventional cell measures 5.971, 5.971 and 5.971 Å, with angles of 90.00, 90.00 and 90.00 degrees. The asymmetric unit holds Al at (0.000, 0.000, 0.000), Fe at (0.000, 0.000, 0.500), Ni at (0.250, 0.250, 0.250) and Pt at (0.250, 0.250, 0.750).


## AlFeReNi (PBE-GGA)

Data for AlFeReNi after structural relaxation.

The formation energy comes out at -0.079 eV per atom. The density of states at the Fermi level comes out at 0.985 states/eV/atom. The size of the total moment comes out at 4.05 μB/cell.

The space group is F-43m (No. 216) and the conventional cell measures 5.870, 5.870 and 5.870 Å, with angles of 90.00, 90.00 and 90.00 degrees. The asymmetric unit holds Al at (0.000, 0.000, 0.000), Fe at (0.250, 0.250, 0.750), Re at (0.000, 0.000, 0.500) and Ni at (0.250, 0.250, 0.250).


## AlFeNiRu (PBE-GGA)

Data for AlFeNiRu after structural relaxation.

The formation energy comes out at -0.319 eV per atom. The density of states at the Fermi level comes out at 0.800 states/eV/atom. The size of the total moment comes out at 16.40 μB/cell.

The space group is F-43m (No. 216) and the conventional cell measures 5.885, 5.885 and 5.885 Å, with angles of 90.00, 90.00 and 90.00 degrees. The asymmetric unit holds Al at (0.000, 0.000, 0.000), Fe at (0.000, 0.000, 0.500), Ni at (0.250, 0.250, 0.750) and Ru at (0.250, 0.250, 0.250).


## AlFeNi2Se (PBE-GGA)

Data for AlFeNi2Se after structural relaxation.

The density of states at the Fermi level comes out at 0.805 states/eV/atom. The raw total energy comes out at -23.31 eV per formula unit. The size of the total moment comes out at 3.20 μB/cell.

The space group is P4/mmm (No. 123) and the conventional cell measures 4.277, 4.277 and 4.951 Å, with angles of 90.00, 90.00 and 90.00 degrees. The asymmetric unit holds Al at (0.000, 0.000, 0.000), Fe at (0.500, 0.500, 0.000), Ni at (0.000, 0.500, 0.500) and Se at (0.000, 0.000, 0.500).


## Ta2Al2FeNi7 (PBE-GGA)

Data for Ta2Al2FeNi7 after structural relaxation.

The formation energy comes out at -0.010 eV per atom. The density of states at the Fermi level comes out at 0.915 states/eV/atom. The size of the total moment comes out at 6.39 μB/cell.

The space group is I4/mmm (No. 139) and the conventional cell measures 3.286, 3.286 and 29.768 Å, with angles of 90.00, 90.00 and 90.00 degrees. The asymmetric unit holds Ta at (0.000, 0.000, 0.131), Al at (0.000, 0.000, 0.309), Fe at (0.000, 0.000, 0.500), Ni at (0.000, 0.000, 0.000), Ni at (0.000, 0.000, 0.226) and Ni at (0.000, 0.500, 0.065).